No. 1
A relaxed structure of UFeSi4Ni2, computed with PBE-GGA.

Values from the calculation:
E_form (uncorrected) in meV/atom: -386.8
Crystal system: trigonal

CIF file:
```
data_UFeSi4Ni2
_symmetry_space_group_name_H-M 'R -3 m'
_symmetry_Int_Tables_number 166
_symmetry_space_group_name_Hall '-R 3 2"'
_cell_length_a 3.9019
_cell_length_b 3.9019
_cell_length_c 25.1393
_cell_angle_alpha 90.00
_cell_angle_beta 90.00
_cell_angle_gamma 120.00
loop_
_atom_site_label
_atom_site_fract_x
_atom_site_fract_y
_atom_site_fract_z
_atom_site_occupancy
U1 0.0000 0.0000 0.0000 1
Fe1 0.0000 0.0000 0.5000 1
Si1 0.0000 0.0000 0.1309 1
Si2 0.0000 0.0000 0.4045 1
Ni1 0.0000 0.0000 0.2310 1
```



No. 2
A relaxed structure of FeSb2Pb, computed with PBE-GGA.

Values from the calculation:
E_form (uncorrected) in meV/atom: 556.6
Crystal system: tetragonal

CIF file:
```
data_FeSb2Pb
_symmetry_space_group_name_H-M 'I -4 m 2'
_symmetry_Int_Tables_number 119
_symmetry_space_group_name_Hall 'I -4 -2'
_cell_length_a 4.481
_cell_length_b 4.481
_cell_length_c 9.902
_cell_angle_alpha 90.00
_cell_angle_beta 90.00
_cell_angle_gamma 90.00
loop_
_atom_site_label
_atom_site_fract_x
_atom_site_fract_y
_atom_site_fract_z
_atom_site_occupancy
Fe1 0.000 0.000 0.000 1
Sb1 0.000 0.000 0.500 1
Sb2 0.000 0.500 0.250 1
Pb1 0.000 0.500 0.750 1
```



No. 3
A relaxed structure of PmPdPb, computed with PBE-GGA.

Values from the calculation:
Energy relative to the elements in meV per atom: -662.8
Crystal system: hexagonal
Energy above the lowest structure with this stoichiometry in eV per atom: 0.000

CIF file:
```
data_PmPdPb
_symmetry_space_group_name_H-M 'P -6 m 2'
_symmetry_Int_Tables_number 187
_symmetry_space_group_name_Hall 'P -6 2'
_cell_length_a 4.8241
_cell_length_b 4.8241
_cell_length_c 3.6608
_cell_angle_alpha 90.00
_cell_angle_beta 90.00
_cell_angle_gamma 120.00
loop_
_atom_site_label
_atom_site_fract_x
_atom_site_fract_y
_atom_site_fract_z
_atom_site_occupancy
Pm1 0.0000 0.0000 0.0000 1
Pd1 0.6667 0.3333 0.5000 1
Pb1 0.3333 0.6667 0.5000 1
```



No. 4
A relaxed structure of CdTcMo, computed with PBE-GGA.

Values from the calculation:
Energy relative to the elements in meV per atom: 247.7
Crystal system: tetragonal
Energy above the lowest structure with this stoichiometry in eV per atom: 0.000

CIF file:
```
data_CdTcMo
_symmetry_space_group_name_H-M 'I 4 m m'
_symmetry_Int_Tables_number 107
_symmetry_space_group_name_Hall 'I 4 -2'
_cell_length_a 3.168
_cell_length_b 3.168
_cell_length_c 10.298
_cell_angle_alpha 90.00
_cell_angle_beta 90.00
_cell_angle_gamma 90.00
loop_
_atom_site_label
_atom_site_fract_x
_atom_site_fract_y
_atom_site_fract_z
_atom_site_occupancy
Cd1 0.000 0.000 0.000 1
Tc1 0.000 0.000 0.686 1
Mo1 0.000 0.000 0.309 1
```



No. 5
A relaxed structure of TaTc3Te, computed with PBE-GGA.

Values from the calculation:
E_form (uncorrected) in meV/atom: 1645.0
Crystal system: cubic
Energy above the lowest structure with this stoichiometry in eV per atom: 0.000

CIF file:
```
data_TaTc3Te
_symmetry_space_group_name_H-M 'P m -3 m'
_symmetry_Int_Tables_number 221
_symmetry_space_group_name_Hall '-P 4 2 3'
_cell_length_a 4.786
_cell_length_b 4.786
_cell_length_c 4.786
_cell_angle_alpha 90.00
_cell_angle_beta 90.00
_cell_angle_gamma 90.00
loop_
_atom_site_label
_atom_site_fract_x
_atom_site_fract_y
_atom_site_fract_z
_atom_site_occupancy
Ta1 0.000 0.000 0.000 1
Tc1 0.000 0.000 0.500 1
Te1 0.500 0.500 0.500 1
```



No. 6
A relaxed structure of Rb2SmSbO6, computed with PBE-GGA.

Values from the calculation:
E_form (uncorrected) in meV/atom: -1770.8
Crystal system: cubic

CIF file:
```
data_Rb2SmSbO6
_symmetry_space_group_name_H-M 'F m -3 m'
_symmetry_Int_Tables_number 225
_symmetry_space_group_name_Hall '-F 4 2 3'
_cell_length_a 8.702
_cell_length_b 8.702
_cell_length_c 8.702
_cell_angle_alpha 90.00
_cell_angle_beta 90.00
_cell_angle_gamma 90.00
loop_
_atom_site_label
_atom_site_fract_x
_atom_site_fract_y
_atom_site_fract_z
_atom_site_occupancy
Rb1 0.250 0.250 0.250 1
Sm1 0.000 0.000 0.000 1
Sb1 0.000 0.000 0.500 1
O1 0.000 0.000 0.269 1
```



No. 7
A relaxed structure of TmCoNi2, computed with PBE-GGA.

Values from the calculation:
Energy relative to the elements in meV per atom: -113.5
Crystal system: orthorhombic

CIF file:
```
data_TmCoNi2
_symmetry_space_group_name_H-M 'P m m a'
_symmetry_Int_Tables_number 51
_symmetry_space_group_name_Hall '-P 2a 2a'
_cell_length_a 4.721
_cell_length_b 4.468
_cell_length_c 11.718
_cell_angle_alpha 90.00
_cell_angle_beta 90.00
_cell_angle_gamma 90.00
loop_
_atom_site_label
_atom_site_fract_x
_atom_site_fract_y
_atom_site_fract_z
_atom_site_occupancy
Tm1 0.250 0.000 0.095 1
Tm2 0.250 0.500 0.319 1
Co1 0.250 0.000 0.671 1
Co2 0.250 0.500 0.547 1
Ni1 0.000 0.000 0.500 1
Ni2 0.000 0.500 0.000 1
Ni3 0.250 0.256 0.841 1
```



No. 8
A relaxed structure of YHoPu2As4, computed with PBE-GGA.

Values from the calculation:
Energy relative to the elements in meV per atom: -1281.7
Crystal system: monoclinic

CIF file:
```
data_YHoPu2As4
_symmetry_space_group_name_H-M 'P 1 2/m 1'
_symmetry_Int_Tables_number 10
_symmetry_space_group_name_Hall '-P 2y'
_cell_length_a 7.109
_cell_length_b 4.131
_cell_length_c 7.153
_cell_angle_alpha 90.00
_cell_angle_beta 109.60
_cell_angle_gamma 90.00
loop_
_atom_site_label
_atom_site_fract_x
_atom_site_fract_y
_atom_site_fract_z
_atom_site_occupancy
Y1 0.000 0.000 0.000 1
Ho1 0.000 0.500 0.500 1
Pu1 0.500 0.000 0.500 1
Pu2 0.500 0.500 0.000 1
As1 0.252 0.000 0.750 1
As2 0.252 0.500 0.252 1
```